1.
A relaxed AcLa4Ag2 crystal. Source: Alexandria via LeMat-Bulk, functional GGA-PBE.

Output
- symmetry = P2_1/m
- formation energy from the elements (meV/atom) = -82
- density of states at the Fermi level (states/eV/cell) = 16.0
- volume (Å³/atom) = 32.7
- energy (eV per formula unit) = -30.1

Geometry as POSCAR:
```
AcLa4Ag2
1.0
7.5377 0.0000 0.0000
0.0000 6.9838 0.0000
-2.8364 0.0000 8.7052
Ac La Ag
2 8 4
direct
0.1578 0.2500 0.0472 Ac
0.8422 0.7500 0.9528 Ac
0.0093 0.7500 0.5982 La
0.1936 0.7500 0.3297 La
0.3804 0.0171 0.7522 La
0.3804 0.4829 0.7522 La
0.6196 0.5171 0.2478 La
0.6196 0.9829 0.2478 La
0.8064 0.2500 0.6703 La
0.9907 0.2500 0.4018 La
0.2838 0.7500 0.0013 Ag
0.4036 0.2500 0.4243 Ag
0.5964 0.7500 0.5757 Ag
0.7162 0.2500 0.9987 Ag
```


2.
A relaxed ReNi2I crystal. Source: Alexandria via LeMat-Bulk, functional GGA-PBE.

Output
- symmetry = Fm-3m
- density of states at the Fermi level (states/eV/cell) = 4.7
- volume (Å³/atom) = 15.3
- energy (eV per formula unit) = -20.9

Geometry as POSCAR:
```
ReNi2I
1.0
0.0000 3.1256 3.1256
3.1256 0.0000 3.1256
3.1256 3.1256 0.0000
Re Ni I
1 2 1
direct
0.0000 0.0000 0.0000 Re
0.2500 0.2500 0.2500 Ni
0.7500 0.7500 0.7500 Ni
0.5000 0.5000 0.5000 I
```


3.
A relaxed In2CuTc crystal. Source: Alexandria via LeMat-Bulk, functional GGA-PBE.

Output
- symmetry = Cmmm
- formation energy from the elements (meV/atom) = 382
- density of states at the Fermi level (states/eV/cell) = 2.3
- volume (Å³/atom) = 18.2
- energy (eV per formula unit) = -18.4

Geometry as POSCAR:
```
In2CuTc
1.0
1.6060 -2.5691 0.0000
1.6060 2.5691 0.0000
0.0000 0.0000 8.8120
In Cu Tc
2 1 1
direct
0.0000 0.0000 0.2470 In
0.0000 0.0000 0.7530 In
0.5000 0.5000 0.0000 Cu
0.5000 0.5000 0.5000 Tc
```


4.
A relaxed CoHgTe2 crystal. Source: Alexandria via LeMat-Bulk, functional GGA-PBE.

Output
- symmetry = P4/mmm
- density of states at the Fermi level (states/eV/cell) = 5.3
- volume (Å³/atom) = 23.9
- energy (eV per formula unit) = -11.2

Geometry as POSCAR:
```
CoHgTe2
1.0
5.5407 0.0000 0.0000
0.0000 5.5407 0.0000
0.0000 0.0000 3.1195
Co Hg Te
1 1 2
direct
0.0000 0.0000 0.0000 Co
0.5000 0.5000 0.0000 Hg
0.0000 0.5000 0.5000 Te
0.5000 0.0000 0.5000 Te
```


5.
A relaxed PRhCl crystal. Source: Alexandria via LeMat-Bulk, functional GGA-PBE.

Output
- symmetry = I4mm
- density of states at the Fermi level (states/eV/cell) = 1.6
- volume (Å³/atom) = 18.4
- energy (eV per formula unit) = -15.5

Geometry as POSCAR:
```
PRhCl
1.0
-1.5692 1.5692 5.5932
1.5692 -1.5692 5.5932
1.5692 1.5692 -5.5932
P Rh Cl
1 1 1
direct
0.0000 0.0000 0.0000 P
0.4279 0.4279 0.0000 Rh
0.1871 0.1871 0.0000 Cl
```


6.
A relaxed BaCa2YRe crystal. Source: Alexandria via LeMat-Bulk, functional GGA-PBE.

Output
- symmetry = P4/mmm
- formation energy from the elements (meV/atom) = 848
- density of states at the Fermi level (states/eV/cell) = 7.0
- volume (Å³/atom) = 37.4
- energy (eV per formula unit) = -20.6

Geometry as POSCAR:
```
BaCa2YRe
1.0
5.7081 0.0000 0.0000
0.0000 5.7081 0.0000
0.0000 0.0000 5.7358
Ba Ca Y Re
1 2 1 1
direct
0.0000 0.0000 0.0000 Ba
0.0000 0.5000 0.5000 Ca
0.5000 0.0000 0.5000 Ca
0.5000 0.5000 0.0000 Y
0.0000 0.0000 0.5000 Re
```


7.
A relaxed ScCu2Ni9 crystal. Source: Alexandria via LeMat-Bulk, functional GGA-PBE.

Output
- symmetry = R-3m
- formation energy from the elements (meV/atom) = -51
- density of states at the Fermi level (states/eV/cell) = 14.3
- volume (Å³/atom) = 12.3
- energy (eV per formula unit) = -67.2

Geometry as POSCAR:
```
ScCu2Ni9
1.0
2.3511 1.3574 7.7289
-2.3511 1.3574 7.7289
0.0000 -2.7148 7.7289
Sc Cu Ni
1 2 9
direct
0.0000 0.0000 0.0000 Sc
0.1470 0.1470 0.1470 Cu
0.8530 0.8530 0.8530 Cu
0.0815 0.5879 0.5879 Ni
0.3341 0.3341 0.3341 Ni
0.4121 0.4121 0.9185 Ni
0.4121 0.9185 0.4121 Ni
0.5000 0.5000 0.5000 Ni
0.5879 0.0815 0.5879 Ni
0.5879 0.5879 0.0815 Ni
0.6659 0.6659 0.6659 Ni
0.9185 0.4121 0.4121 Ni
```


8.
A relaxed Er3Al5Pd crystal. Source: Alexandria via LeMat-Bulk, functional GGA-PBE.

Output
- symmetry = P-62m
- formation energy from the elements (meV/atom) = -656
- density of states at the Fermi level (states/eV/cell) = 3.6
- volume (Å³/atom) = 20.3
- energy (eV per formula unit) = -43.5

Geometry as POSCAR:
```
Er3Al5Pd
1.0
6.9503 0.0000 0.0000
-3.4751 6.0191 0.0000
0.0000 0.0000 4.3668
Er Al Pd
3 5 1
direct
0.0000 0.5838 0.0000 Er
0.4162 0.4162 0.0000 Er
0.5838 0.0000 0.0000 Er
0.0000 0.2350 0.5000 Al
0.2350 0.0000 0.5000 Al
0.3333 0.6667 0.5000 Al
0.6667 0.3333 0.5000 Al
0.7650 0.7650 0.5000 Al
0.0000 0.0000 0.0000 Pd
```


9.
A relaxed ScTlAs crystal. Source: Alexandria via LeMat-Bulk, functional GGA-PBE.

Output
- symmetry = F-43m
- formation energy from the elements (meV/atom) = -215
- density of states at the Fermi level (states/eV/cell) = 3.0
- volume (Å³/atom) = 25.6
- energy (eV per formula unit) = -14.0

Geometry as POSCAR:
```
ScTlAs
1.0
0.0000 3.3724 3.3724
3.3724 0.0000 3.3724
3.3724 3.3724 0.0000
Sc Tl As
1 1 1
direct
0.0000 0.0000 0.0000 Sc
0.2500 0.2500 0.2500 Tl
0.7500 0.7500 0.7500 As
```


10.
A relaxed Co4NiPt crystal. Source: Alexandria via LeMat-Bulk, functional GGA-PBE.

Output
- symmetry = P6/mmm
- formation energy from the elements (meV/atom) = 9
- density of states at the Fermi level (states/eV/cell) = 6.2
- volume (Å³/atom) = 12.0
- energy (eV per formula unit) = -40.2

Geometry as POSCAR:
```
Co4NiPt
1.0
4.0398 0.0000 0.0000
-2.0199 3.4985 0.0000
0.0000 0.0000 5.0725
Co Ni Pt
4 1 1
direct
0.3333 0.6667 0.2378 Co
0.3333 0.6667 0.7622 Co
0.6667 0.3333 0.2378 Co
0.6667 0.3333 0.7622 Co
0.0000 0.0000 0.0000 Ni
0.0000 0.0000 0.5000 Pt
```


11.
A relaxed CeTl2As2O6 crystal. Source: Alexandria via LeMat-Bulk, functional GGA-PBE.

Output
- symmetry = C2/m
- volume (Å³/atom) = 20.2
- energy (eV per formula unit) = -68.4

Geometry as POSCAR:
```
CeTl2As2O6
1.0
5.0739 -3.0294 0.0000
5.0739 3.0294 0.0000
-1.7905 0.0000 7.2220
Ce Tl As O
1 2 2 6
direct
0.0000 0.0000 0.0000 Ce
0.2780 0.2780 0.7413 Tl
0.7220 0.7220 0.2587 Tl
0.3890 0.3890 0.2723 As
0.6110 0.6110 0.7277 As
0.2311 0.2311 0.0968 O
0.2523 0.7039 0.1971 O
0.2961 0.7477 0.8029 O
0.7039 0.2523 0.1971 O
0.7477 0.2961 0.8029 O
0.7689 0.7689 0.9032 O
```


12.
A relaxed As2IrSeBr crystal. Source: Alexandria via LeMat-Bulk, functional GGA-PBE.

Output
- symmetry = P4/mmm
- density of states at the Fermi level (states/eV/cell) = 7.2
- volume (Å³/atom) = 24.0
- energy (eV per formula unit) = -20.6

Geometry as POSCAR:
```
As2IrSeBr
1.0
4.8564 0.0000 0.0000
0.0000 4.8564 0.0000
0.0000 0.0000 5.0879
As Ir Se Br
2 1 1 1
direct
0.0000 0.5000 0.0000 As
0.5000 0.0000 0.0000 As
0.0000 0.0000 0.0000 Ir
0.0000 0.0000 0.5000 Se
0.5000 0.5000 0.5000 Br
```